Compound: BaCrNi
Source: Alexandria
Functional: GGA-PBE
Structure: optimized geometry

Properties
The value obtained for the total energy is -5.44 eV per atom. The calculation puts the total magnetization at 0.000 μB/atom. The crystal system is triclinic. The formation energy is 0.340 eV per atom. The polymorph energy (0 for the lowest one) comes out at 75.7 meV per atom.

Cell and atoms, written as CIF:
```
data_BaCrNi
_cell_length_a 4.604
_cell_length_b 4.648
_cell_length_c 9.851
_cell_angle_alpha 83.91
_cell_angle_beta 89.96
_cell_angle_gamma 60.32
_symmetry_space_group_name_H-M 'P -1'
_symmetry_Int_Tables_number 2
loop_
_symmetry_equiv_pos_as_xyz
'x,y,z'
'-x,-y,-z'
loop_
_atom_site_label
_atom_site_fract_x
_atom_site_fract_y
_atom_site_fract_z
Ba1 0.213 0.075 0.224
Cr1 0.214 0.500 0.500
Ni1 0.274 0.952 0.561
```